(1)
{
  "formula": "CoTc3F",
  "functional": "PBE+U",
  "state": "optimized geometry",
  "dos_ef_per_ev_cell": 10.19,
  "relative_energy_ev_per_atom": 0.000,
  "vol_a3_per_atom": 13.847,
  "total_magnetization_mub_per_cell": 2.01,
  "cell": [[4.106, 0.000, 0.000], [0.000, 4.106, 0.000], [0.000, 0.000, 4.106]],
  "species": ["Tc", "Tc", "Tc", "F", "Co"],
  "frac_coords": [[0.000, 0.000, 0.500], [0.000, 0.500, 0.000], [0.500, 0.000, 0.000], [0.000, 0.000, 0.000], [0.500, 0.500, 0.500]]
}



(2)
{
  "formula": "ZrCoTcF2",
  "functional": "PBE+U",
  "state": "optimized geometry",
  "dos_ef_per_ev_cell": 3.13,
  "vol_a3_per_atom": 17.552,
  "total_magnetization_mub_per_cell": 4.14,
  "total_energy_ev_per_cell": -30.9,
  "cell": [[4.046, 0.000, 0.000], [0.000, 5.360, 0.000], [0.000, 0.000, 4.046]],
  "species": ["Zr", "Co", "Tc", "F", "F"],
  "frac_coords": [[0.000, 0.000, 0.000], [0.000, 0.500, 0.000], [0.500, 0.500, 0.500], [0.500, 0.000, 0.000], [0.000, 0.000, 0.500]]
}



(3)
{
  "formula": "CoTe2F",
  "functional": "PBE+U",
  "state": "optimized geometry",
  "dos_ef_per_ev_cell": 6.08,
  "relative_energy_ev_per_atom": 0.334,
  "vol_a3_per_atom": 23.825,
  "total_magnetization_mub_per_cell": 0.00,
  "cell": [[-3.777, -3.991, -1.638], [1.424, -3.209, 4.533], [-5.294, -0.991, 4.587]],
  "species": ["Te", "Te", "Te", "Te", "Co", "Co", "F", "F"],
  "frac_coords": [[0.375, 0.331, 0.750], [0.669, 0.125, 0.250], [0.081, 0.625, 0.250], [0.875, 0.919, 0.750], [0.000, 0.000, 0.000], [0.750, 0.250, 0.500], [0.500, 0.500, 0.000], [0.250, 0.750, 0.500]]
}



(4)
{
  "formula": "CoTe2F",
  "functional": "PBE+U",
  "state": "optimized geometry",
  "dos_ef_per_ev_cell": 1.91,
  "relative_energy_ev_per_atom": 0.000,
  "vol_a3_per_atom": 23.660,
  "total_magnetization_mub_per_cell": 0.55,
  "cell": [[4.245, -3.404, 4.968], [4.592, -5.521, 1.652], [6.702, -2.214, 2.114]],
  "species": ["F", "Co", "Te", "Te"],
  "frac_coords": [[0.000, 0.000, 0.000], [0.500, 0.500, 0.500], [0.891, 0.891, 0.891], [0.109, 0.109, 0.109]]
}



(5)
{
  "formula": "CoTeF3",
  "functional": "PBE+U",
  "state": "optimized geometry",
  "dos_ef_per_ev_cell": 11.66,
  "relative_energy_ev_per_atom": 0.000,
  "vol_a3_per_atom": 14.996,
  "total_magnetization_mub_per_cell": 5.55,
  "cell": [[4.217, 0.000, 0.000], [0.000, 4.217, 0.000], [0.000, 0.000, 4.217]],
  "species": ["F", "F", "F", "Te", "Co"],
  "frac_coords": [[0.000, 0.000, 0.500], [0.000, 0.500, 0.000], [0.500, 0.000, 0.000], [0.500, 0.500, 0.500], [0.000, 0.000, 0.000]]
}



(6)
{
  "formula": "CoTeF3",
  "functional": "PBE+U",
  "state": "optimized geometry",
  "dos_ef_per_ev_cell": 2.08,
  "relative_energy_ev_per_atom": 0.396,
  "vol_a3_per_atom": 19.463,
  "total_magnetization_mub_per_cell": 2.46,
  "cell": [[4.600, 0.000, 0.000], [0.000, 4.600, 0.000], [0.000, 0.000, 4.600]],
  "species": ["F", "F", "F", "Co", "Te"],
  "frac_coords": [[0.000, 0.000, 0.500], [0.500, 0.000, 0.000], [0.000, 0.500, 0.000], [0.500, 0.500, 0.500], [0.000, 0.000, 0.000]]
}



(7)
{
  "formula": "CoTe2F",
  "functional": "PBE+U",
  "state": "optimized geometry",
  "dos_ef_per_ev_cell": 1.64,
  "relative_energy_ev_per_atom": 0.124,
  "vol_a3_per_atom": 17.647,
  "total_magnetization_mub_per_cell": 1.23,
  "cell": [[0.000, 3.280, 3.280], [3.280, 0.000, 3.280], [3.280, 3.280, 0.000]],
  "species": ["F", "Te", "Te", "Co"],
  "frac_coords": [[0.000, 0.000, 0.000], [0.750, 0.750, 0.750], [0.250, 0.250, 0.250], [0.500, 0.500, 0.500]]
}



(8)
{
  "formula": "CoTe2F",
  "functional": "PBE+U",
  "state": "optimized geometry",
  "dos_ef_per_ev_cell": 3.77,
  "relative_energy_ev_per_atom": 0.550,
  "vol_a3_per_atom": 20.802,
  "total_magnetization_mub_per_cell": 2.06,
  "cell": [[1.854, 0.000, 9.322], [-0.927, 1.605, 9.322], [-0.927, -1.605, 9.322]],
  "species": ["F", "Te", "Te", "Co"],
  "frac_coords": [[0.500, 0.500, 0.500], [0.091, 0.091, 0.091], [0.909, 0.909, 0.909], [0.000, 0.000, 0.000]]
}



(9)
{
  "formula": "TiCoF3",
  "functional": "PBE+U",
  "state": "optimized geometry",
  "dos_ef_per_ev_cell": 5.23,
  "relative_energy_ev_per_atom": 0.418,
  "vol_a3_per_atom": 13.359,
  "total_magnetization_mub_per_cell": 0.02,
  "cell": [[4.057, 0.000, 0.000], [0.000, 4.057, 0.000], [0.000, 0.000, 4.057]],
  "species": ["F", "F", "F", "Ti", "Co"],
  "frac_coords": [[0.000, 0.500, 0.000], [0.000, 0.000, 0.500], [0.500, 0.000, 0.000], [0.500, 0.500, 0.500], [0.000, 0.000, 0.000]]
}



(10)
{
  "formula": "TiCoF2",
  "functional": "PBE+U",
  "state": "optimized geometry",
  "dos_ef_per_ev_cell": 2.38,
  "relative_energy_ev_per_atom": 0.000,
  "vol_a3_per_atom": 12.861,
  "total_magnetization_mub_per_cell": 2.57,
  "cell": [[1.680, 0.000, 7.015], [-0.840, 1.455, 7.015], [-0.840, -1.455, 7.015]],
  "species": ["Co", "Ti", "F", "F"],
  "frac_coords": [[0.500, 0.500, 0.500], [0.000, 0.000, 0.000], [0.906, 0.906, 0.906], [0.094, 0.094, 0.094]]
}



(11)
{
  "formula": "TiCo3F",
  "functional": "PBE+U",
  "state": "optimized geometry",
  "dos_ef_per_ev_cell": 3.97,
  "relative_energy_ev_per_atom": 0.000,
  "vol_a3_per_atom": 13.842,
  "total_magnetization_mub_per_cell": 3.79,
  "cell": [[4.106, 0.000, 0.000], [0.000, 4.106, 0.000], [0.000, 0.000, 4.106]],
  "species": ["Co", "Co", "Co", "Ti", "F"],
  "frac_coords": [[0.500, 0.000, 0.000], [0.000, 0.500, 0.000], [0.000, 0.000, 0.500], [0.500, 0.500, 0.500], [0.000, 0.000, 0.000]]
}



(12)
{
  "formula": "TiCoF2",
  "functional": "PBE+U",
  "state": "optimized geometry",
  "dos_ef_per_ev_cell": 2.23,
  "relative_energy_ev_per_atom": 0.087,
  "vol_a3_per_atom": 12.696,
  "total_magnetization_mub_per_cell": 2.01,
  "cell": [[-2.609, -2.155, 1.789], [2.034, -3.139, -0.814], [3.199, -1.930, 6.435]],
  "species": ["Co", "Co", "F", "F", "F", "F", "Ti", "Ti"],
  "frac_coords": [[0.750, 0.250, 0.500], [0.000, 0.000, 0.000], [0.375, 0.432, 0.750], [0.182, 0.625, 0.250], [0.568, 0.125, 0.250], [0.875, 0.818, 0.750], [0.250, 0.750, 0.500], [0.500, 0.500, 0.000]]
}



(13)
{
  "formula": "Ti2CoF",
  "functional": "PBE+U",
  "state": "optimized geometry",
  "dos_ef_per_ev_cell": 5.19,
  "relative_energy_ev_per_atom": 0.163,
  "vol_a3_per_atom": 12.968,
  "total_magnetization_mub_per_cell": 0.35,
  "cell": [[3.667, -2.020, -0.045], [0.116, -4.142, 0.596], [0.948, -2.548, -3.184]],
  "species": ["Ti", "Ti", "F", "Co"],
  "frac_coords": [[0.750, 0.750, 0.750], [0.250, 0.250, 0.250], [0.000, 0.000, 0.000], [0.500, 0.500, 0.500]]
}



(14)
{
  "formula": "TiCo2F",
  "functional": "PBE+U",
  "state": "optimized geometry",
  "dos_ef_per_ev_cell": 4.24,
  "relative_energy_ev_per_atom": 0.461,
  "vol_a3_per_atom": 13.730,
  "total_magnetization_mub_per_cell": 2.47,
  "cell": [[-0.714, -2.283, 3.533], [-1.465, 1.917, 3.519], [-3.998, -0.711, 1.309]],
  "species": ["F", "Co", "Co", "Ti"],
  "frac_coords": [[0.000, 0.000, 0.000], [0.750, 0.750, 0.750], [0.250, 0.250, 0.250], [0.500, 0.500, 0.500]]
}



(15)
{
  "formula": "Ti2CoF",
  "functional": "PBE+U",
  "state": "optimized geometry",
  "dos_ef_per_ev_cell": 6.43,
  "relative_energy_ev_per_atom": 0.000,
  "vol_a3_per_atom": 15.403,
  "total_magnetization_mub_per_cell": 0.00,
  "cell": [[-2.032, 2.940, -3.341], [1.689, -2.888, -3.569], [-4.505, -2.748, -3.261]],
  "species": ["Ti", "Ti", "Ti", "Ti", "F", "F", "Co", "Co"],
  "frac_coords": [[0.598, 0.125, 0.250], [0.375, 0.402, 0.750], [0.875, 0.848, 0.750], [0.152, 0.625, 0.250], [0.500, 0.500, 0.000], [0.250, 0.750, 0.500], [0.750, 0.250, 0.500], [0.000, 0.000, 0.000]]
}



(16)
{
  "formula": "TiCoF3",
  "functional": "PBE+U",
  "state": "optimized geometry",
  "dos_ef_per_ev_cell": 5.72,
  "relative_energy_ev_per_atom": 0.000,
  "vol_a3_per_atom": 13.532,
  "total_magnetization_mub_per_cell": 2.25,
  "cell": [[-3.905, -0.060, -1.164], [0.581, -3.628, -1.761], [-1.010, -1.854, 3.485]],
  "species": ["Co", "F", "F", "F", "Ti"],
  "frac_coords": [[0.500, 0.500, 0.500], [0.500, 0.000, 0.000], [0.000, 0.500, 0.000], [0.000, 0.000, 0.500], [0.000, 0.000, 0.000]]
}



(17)
{
  "formula": "TiCo3F",
  "functional": "PBE+U",
  "state": "optimized geometry",
  "dos_ef_per_ev_cell": 1.97,
  "relative_energy_ev_per_atom": 0.900,
  "vol_a3_per_atom": 16.691,
  "total_magnetization_mub_per_cell": 3.05,
  "cell": [[4.370, 0.000, 0.000], [0.000, 4.370, 0.000], [0.000, 0.000, 4.370]],
  "species": ["Co", "Co", "Co", "Ti", "F"],
  "frac_coords": [[0.000, 0.500, 0.000], [0.500, 0.000, 0.000], [0.000, 0.000, 0.500], [0.000, 0.000, 0.000], [0.500, 0.500, 0.500]]
}



(18)
{
  "formula": "TiCo2F",
  "functional": "PBE+U",
  "state": "optimized geometry",
  "dos_ef_per_ev_cell": 3.17,
  "relative_energy_ev_per_atom": 0.000,
  "vol_a3_per_atom": 13.631,
  "total_magnetization_mub_per_cell": 5.98,
  "cell": [[6.854, 0.000, 0.000], [0.000, 6.854, 0.000], [3.427, 3.427, 2.322]],
  "species": ["Co", "Co", "Co", "Co", "Ti", "Ti", "F", "F"],
  "frac_coords": [[0.375, 0.411, 0.750], [0.875, 0.839, 0.750], [0.589, 0.125, 0.250], [0.161, 0.625, 0.250], [0.750, 0.250, 0.500], [0.000, 0.000, 0.000], [0.500, 0.500, 0.000], [0.250, 0.750, 0.500]]
}



(19)
{
  "formula": "TiCoF2",
  "functional": "PBE+U",
  "state": "optimized geometry",
  "dos_ef_per_ev_cell": 3.50,
  "relative_energy_ev_per_atom": 0.779,
  "vol_a3_per_atom": 10.760,
  "total_magnetization_mub_per_cell": 0.00,
  "cell": [[-3.531, -0.110, 1.731], [-2.941, 2.214, -1.388], [-3.039, -1.693, -1.836]],
  "species": ["F", "F", "Co", "Ti"],
  "frac_coords": [[0.250, 0.250, 0.250], [0.750, 0.750, 0.750], [0.500, 0.500, 0.500], [0.000, 0.000, 0.000]]
}



(20)
{
  "formula": "TiTlCoF6",
  "functional": "PBE+U",
  "state": "optimized geometry",
  "dos_ef_per_ev_cell": 12.27,
  "vol_a3_per_atom": 17.527,
  "total_magnetization_mub_per_cell": 7.56,
  "total_energy_ev_per_cell": -99.7,
  "cell": [[-2.563, 3.280, -3.645], [-0.692, -5.484, -0.248], [-9.338, 0.847, 7.327]],
  "species": ["Tl", "Tl", "F", "F", "F", "F", "F", "F", "F", "F", "F", "F", "F", "F", "Co", "Co", "Ti", "Ti"],
  "frac_coords": [[0.000, 0.000, 0.500], [0.000, 0.000, 0.000], [0.987, 0.371, 0.160], [0.616, 0.987, 0.840], [0.371, 0.987, 0.660], [0.384, 0.013, 0.160], [0.384, 0.371, 0.340], [0.013, 0.384, 0.660], [0.013, 0.629, 0.840], [0.629, 0.013, 0.340], [0.616, 0.629, 0.660], [0.629, 0.616, 0.160], [0.987, 0.616, 0.340], [0.371, 0.384, 0.840], [0.667, 0.333, 0.750], [0.333, 0.667, 0.250], [0.333, 0.667, 0.750], [0.667, 0.333, 0.250]]
}



(21)
{
  "formula": "ZrTi2CoF",
  "functional": "PBE+U",
  "state": "optimized geometry",
  "dos_ef_per_ev_cell": 7.25,
  "vol_a3_per_atom": 21.946,
  "total_magnetization_mub_per_cell": 0.00,
  "total_energy_ev_per_cell": -24.6,
  "cell": [[5.043, 0.000, 0.000], [0.000, 4.315, 0.000], [0.000, 0.000, 5.043]],
  "species": ["Zr", "Co", "Ti", "Ti", "F"],
  "frac_coords": [[0.000, 0.000, 0.000], [0.000, 0.500, 0.000], [0.000, 0.000, 0.500], [0.500, 0.000, 0.000], [0.500, 0.500, 0.500]]
}



(22)
{
  "formula": "TlCo3F",
  "functional": "PBE+U",
  "state": "optimized geometry",
  "dos_ef_per_ev_cell": 3.75,
  "relative_energy_ev_per_atom": 1.211,
  "vol_a3_per_atom": 25.489,
  "total_magnetization_mub_per_cell": 7.47,
  "cell": [[-3.692, -3.360, 0.640], [1.095, -0.269, 4.904], [-3.240, 3.737, 0.929]],
  "species": ["Co", "Co", "Co", "Tl", "F"],
  "frac_coords": [[0.000, 0.000, 0.500], [0.000, 0.500, 0.000], [0.500, 0.000, 0.000], [0.000, 0.000, 0.000], [0.500, 0.500, 0.500]]
}



(23)
{
  "formula": "TlCo2F8",
  "functional": "PBE+U",
  "state": "optimized geometry",
  "dos_ef_per_ev_cell": 3.80,
  "vol_a3_per_atom": 13.297,
  "total_magnetization_mub_per_cell": 7.00,
  "total_energy_ev_per_cell": -47.3,
  "cell": [[4.768, 0.000, -2.242], [-1.054, 4.650, -2.242], [0.122, 0.152, 6.450]],
  "species": ["Co", "Co", "F", "F", "F", "F", "F", "F", "F", "F", "Tl"],
  "frac_coords": [[0.750, 0.250, 0.500], [0.250, 0.750, 0.500], [0.444, 0.928, 0.257], [0.670, 0.187, 0.743], [0.556, 0.670, 0.743], [0.072, 0.556, 0.743], [0.330, 0.444, 0.257], [0.187, 0.072, 0.743], [0.813, 0.330, 0.257], [0.928, 0.813, 0.257], [0.500, 0.500, 0.000]]
}



(24)
{
  "formula": "Tl2Co2F5",
  "functional": "PBE+U",
  "state": "optimized geometry",
  "dos_ef_per_ev_cell": 2.73,
  "vol_a3_per_atom": 17.552,
  "total_magnetization_mub_per_cell": 5.00,
  "total_energy_ev_per_cell": -39.1,
  "cell": [[4.218, 0.000, 0.000], [-2.109, 6.013, -0.458], [0.000, -1.368, 6.332]],
  "species": ["Co", "Co", "Tl", "Tl", "F", "F", "F", "F", "F"],
  "frac_coords": [[0.847, 0.693, 0.079], [0.153, 0.307, 0.921], [0.604, 0.208, 0.354], [0.396, 0.792, 0.646], [0.176, 0.352, 0.615], [0.662, 0.324, 0.950], [0.000, 0.000, 0.000], [0.338, 0.676, 0.050], [0.824, 0.648, 0.385]]
}



(25)
{
  "formula": "Tl2CoF8",
  "functional": "PBE+U",
  "state": "optimized geometry",
  "dos_ef_per_ev_cell": 3.99,
  "vol_a3_per_atom": 15.639,
  "total_magnetization_mub_per_cell": 3.01,
  "total_energy_ev_per_cell": -44.4,
  "cell": [[4.487, 0.000, 0.000], [-0.001, 5.763, -3.332], [0.001, -0.006, 6.657]],
  "species": ["Tl", "Tl", "F", "F", "F", "F", "F", "F", "F", "F", "Co"],
  "frac_coords": [[0.236, 0.334, 0.666], [0.764, 0.666, 0.334], [0.265, 0.666, 0.334], [0.759, 0.849, 0.149], [0.241, 0.151, 0.851], [0.758, 0.299, 0.150], [0.242, 0.701, 0.850], [0.242, 0.148, 0.299], [0.758, 0.852, 0.701], [0.735, 0.334, 0.666], [0.000, 0.000, 0.000]]
}



(26)
{
  "formula": "Tl2Co3F8",
  "functional": "PBE+U",
  "state": "optimized geometry",
  "dos_ef_per_ev_cell": 0.00,
  "vol_a3_per_atom": 17.257,
  "total_magnetization_mub_per_cell": 9.00,
  "total_energy_ev_per_cell": -61.4,
  "cell": [[-1.464, -1.228, -5.166], [6.160, -0.007, -1.744], [-2.111, -5.705, 4.314]],
  "species": ["Tl", "Tl", "Co", "Co", "Co", "F", "F", "F", "F", "F", "F", "F", "F"],
  "frac_coords": [[0.672, 0.710, 0.420], [0.328, 0.290, 0.580], [0.000, 0.254, 0.000], [0.000, 0.746, 0.000], [0.500, 0.000, 0.000], [0.903, 0.082, 0.164], [0.097, 0.918, 0.836], [0.961, 0.592, 0.184], [0.616, 0.142, 0.835], [0.616, 0.693, 0.835], [0.039, 0.408, 0.816], [0.384, 0.858, 0.165], [0.384, 0.307, 0.165]]
}